(1)
First-principles (GGA-PBEsol) data for Ga2P3H12N3O12 after structural relaxation, as listed in the Alexandria database.

Space-group type: C2/c

Lattice parameters (Å, degrees): 8.387 8.387 9.107 73.67 73.67 74.77
Fractional coordinates of all 64 atoms:
Ga: 0.742 0.592 0.422
Ga: 0.592 0.742 0.922
Ga: 0.408 0.258 0.078
Ga: 0.258 0.408 0.578
P: 0.667 0.916 0.160
P: 0.916 0.667 0.660
P: 0.507 0.493 0.250
P: 0.493 0.507 0.750
P: 0.084 0.333 0.340
P: 0.333 0.084 0.840
H: 0.718 0.961 0.480
H: 0.961 0.718 0.980
H: 0.409 0.872 0.443
H: 0.855 0.369 0.138
H: 0.872 0.409 0.943
H: 0.069 0.016 0.301
H: 0.203 0.905 0.166
H: 0.792 0.146 0.437
H: 0.854 0.208 0.063
H: 0.095 0.797 0.334
H: 0.369 0.855 0.638
H: 0.984 0.931 0.199
H: 0.016 0.069 0.801
H: 0.631 0.145 0.362
H: 0.905 0.203 0.666
H: 0.146 0.792 0.937
H: 0.208 0.854 0.563
H: 0.797 0.095 0.834
H: 0.931 0.984 0.699
H: 0.128 0.591 0.057
H: 0.145 0.631 0.862
H: 0.591 0.128 0.557
H: 0.039 0.282 0.020
H: 0.282 0.039 0.520
N: 0.906 0.317 0.039
N: 0.091 0.909 0.250
N: 0.683 0.094 0.461
N: 0.317 0.906 0.539
N: 0.909 0.091 0.750
N: 0.094 0.683 0.961
O: 0.968 0.509 0.348
O: 0.627 0.802 0.329
O: 0.728 0.810 0.034
O: 0.509 0.968 0.848
O: 0.987 0.195 0.358
O: 0.802 0.627 0.829
O: 0.810 0.728 0.534
O: 0.680 0.483 0.284
O: 0.463 0.637 0.108
O: 0.195 0.987 0.858
O: 0.363 0.537 0.392
O: 0.483 0.680 0.784
O: 0.517 0.320 0.216
O: 0.637 0.463 0.608
O: 0.805 0.013 0.142
O: 0.537 0.363 0.892
O: 0.320 0.517 0.716
O: 0.190 0.272 0.466
O: 0.198 0.373 0.171
O: 0.013 0.805 0.642
O: 0.491 0.032 0.152
O: 0.272 0.190 0.966
O: 0.373 0.198 0.671
O: 0.032 0.491 0.652

(2)
First-principles (GGA-PBEsol) data for ZnGaP2H4NO8 after structural relaxation, as listed in the Alexandria database.

Space-group type: P2_1

Lattice parameters (Å, degrees): 8.499 9.067 10.131 90.00 90.00 90.28
Fractional coordinates of all 68 atoms:
Zn: 0.078 0.536 0.904
Zn: 0.433 0.170 0.320
Zn: 0.567 0.830 0.820
Zn: 0.922 0.464 0.404
Ga: 0.133 0.067 0.662
Ga: 0.416 0.659 0.154
Ga: 0.584 0.341 0.654
Ga: 0.867 0.933 0.162
P: 0.063 0.638 0.177
P: 0.067 0.153 0.371
P: 0.432 0.515 0.879
P: 0.476 0.022 0.588
P: 0.568 0.485 0.379
P: 0.524 0.978 0.088
P: 0.937 0.362 0.677
P: 0.933 0.847 0.871
H: 0.143 0.606 0.602
H: 0.117 0.086 0.913
H: 0.203 0.650 0.452
H: 0.163 0.035 0.191
H: 0.264 0.759 0.582
H: 0.229 0.223 0.849
H: 0.338 0.586 0.560
H: 0.307 0.056 0.876
H: 0.662 0.414 0.060
H: 0.693 0.944 0.376
H: 0.736 0.241 0.082
H: 0.771 0.777 0.349
H: 0.797 0.350 0.952
H: 0.837 0.965 0.691
H: 0.857 0.394 0.102
H: 0.883 0.914 0.413
N: 0.238 0.652 0.551
N: 0.205 0.110 0.845
N: 0.762 0.348 0.051
N: 0.795 0.890 0.345
O: 0.049 0.497 0.093
O: 0.050 0.034 0.481
O: 0.070 0.601 0.324
O: 0.056 0.052 0.231
O: 0.073 0.745 0.858
O: 0.078 0.264 0.642
O: 0.216 0.727 0.139
O: 0.224 0.229 0.368
O: 0.273 0.437 0.861
O: 0.312 0.948 0.620
O: 0.436 0.584 0.320
O: 0.427 0.667 0.816
O: 0.390 0.059 0.160
O: 0.452 0.182 0.639
O: 0.479 0.523 0.030
O: 0.512 0.020 0.440
O: 0.521 0.477 0.530
O: 0.488 0.980 0.940
O: 0.573 0.333 0.316
O: 0.564 0.416 0.820
O: 0.548 0.818 0.139
O: 0.610 0.941 0.660
O: 0.727 0.563 0.361
O: 0.688 0.052 0.120
O: 0.784 0.273 0.639
O: 0.776 0.771 0.868
O: 0.927 0.255 0.358
O: 0.922 0.736 0.142
O: 0.930 0.399 0.824
O: 0.944 0.948 0.731
O: 0.951 0.503 0.593
O: 0.950 0.966 0.981

no.,electronic total energy (eV for the cell shown)
1,-394.96
2,-430.44